No. 1
{"formula": "GeBi3Br", "functional": "GGA-PBE", "state": "optimized geometry", "cell": [[-1.186, -5.458, 0.021], [4.283, -0.917, 3.466], [-3.383, 0.752, 4.380]], "species": ["Ge", "Bi", "Bi", "Bi", "Br"], "fractional_positions": [[0.000, 0.000, 0.000], [0.000, 0.500, 0.000], [0.000, 0.000, 0.500], [0.500, 0.000, 0.000], [0.500, 0.500, 0.500]], "formation_energy_uncorrected_mev_per_atom": 467, "relative_energy_ev_per_atom": 0.000, "sg": "No. 221"}

***

No. 2
{"formula": "GeBiBr5", "functional": "GGA-PBE", "state": "optimized geometry", "cell": [[-0.043, -3.701, -1.886], [9.778, -0.306, 0.376], [1.186, -6.402, 12.533]], "species": ["Ge", "Ge", "Bi", "Bi", "Br", "Br", "Br", "Br", "Br", "Br", "Br", "Br", "Br", "Br"], "fractional_positions": [[0.750, 0.145, 0.065], [0.250, 0.855, 0.935], [0.250, 0.381, 0.382], [0.750, 0.619, 0.618], [0.250, 0.133, 0.330], [0.750, 0.092, 0.894], [0.750, 0.315, 0.533], [0.250, 0.322, 0.032], [0.250, 0.506, 0.746], [0.750, 0.494, 0.254], [0.750, 0.678, 0.968], [0.250, 0.685, 0.467], [0.250, 0.908, 0.106], [0.750, 0.867, 0.670]], "formation_energy_uncorrected_mev_per_atom": -634, "relative_energy_ev_per_atom": 0.000, "sg": "No. 11"}